No. 1
First-principles (SCAN) data for a PBEsol-optimized structure of TaFeSeBr2, as listed in Alexandria.

Cell lengths 5.072, 5.072, 4.969 Å; angles 90.00, 90.00, 90.00 degrees
Atoms (fractional coordinates):
Ta: 0.000 0.000 0.000
Fe: 0.500 0.500 0.500
Se: 0.000 0.000 0.500
Br: 0.000 0.500 0.000
Br: 0.500 0.000 0.000

Summary:
formation energy from raw total energies: 359 meV/atom
space-group type: P4/mmm
Fermi-level density of states: 5.2 states/eV/f.u.

=====

No. 2
First-principles (SCAN) data for a PBEsol-optimized structure of ZrScCd2, as listed in Alexandria.

Cell lengths 4.463, 4.463, 8.342 Å; angles 90.00, 90.00, 90.00 degrees
Atoms (fractional coordinates):
Zr: 0.000 0.000 0.000
Zr: 0.500 0.500 0.500
Sc: 0.000 0.000 0.500
Sc: 0.500 0.500 0.000
Cd: 0.000 0.500 0.250
Cd: 0.000 0.500 0.750
Cd: 0.500 0.000 0.250
Cd: 0.500 0.000 0.750

Summary:
energy relative to the elements: -1.10 eV per formula unit
space-group type: I4/mmm
Fermi-level density of states: 2.7 states/eV/f.u.

=====

No. 3
First-principles (SCAN) data for a PBEsol-optimized structure of NaMnAlNi2, as listed in Alexandria.

Cell lengths 4.324, 4.324, 4.771 Å; angles 90.00, 90.00, 90.00 degrees
Atoms (fractional coordinates):
Na: 0.000 0.000 0.000
Mn: 0.500 0.500 0.000
Al: 0.000 0.000 0.500
Ni: 0.000 0.500 0.500
Ni: 0.500 0.000 0.500

Summary:
energy relative to the elements: 3.81 eV per formula unit
space-group type: P4/mmm
Fermi-level density of states: 2.6 states/eV/f.u.

=====

No. 4
First-principles (SCAN) data for a PBEsol-optimized structure of Al2ReSb, as listed in Alexandria.

Cell lengths 4.455, 4.455, 3.334 Å; angles 90.00, 90.00, 90.00 degrees
Atoms (fractional coordinates):
Al: 0.000 0.500 0.000
Al: 0.500 0.000 0.000
Re: 0.000 0.000 0.500
Sb: 0.500 0.500 0.500

Summary:
formation energy from raw total energies: 306 meV/atom
space-group type: P4/mmm
Fermi-level density of states: 2.0 states/eV/f.u.

=====

Copy entry 1 word for word.
First-principles (SCAN) data for a PBEsol-optimized structure of TaFeSeBr2, as listed in Alexandria.

Cell lengths 5.072, 5.072, 4.969 Å; angles 90.00, 90.00, 90.00 degrees
Atoms (fractional coordinates):
Ta: 0.000 0.000 0.000
Fe: 0.500 0.500 0.500
Se: 0.000 0.000 0.500
Br: 0.000 0.500 0.000
Br: 0.500 0.000 0.000

Summary:
formation energy from raw total energies: 359 meV/atom
space-group type: P4/mmm
Fermi-level density of states: 5.2 states/eV/f.u.

=====

Q: The lowest Fermi-level density of states belongs to which entry?
A: Al2ReSb

=====

Q: What is the Fermi-level density of states in the fourth record?
A: 2.0 states/eV/f.u.